Record 1
# Gd2RuSe (PBE, relaxed)
# Fermi-level density of states ... 0.59 states/eV/cell
# Total DFT energy (no corrections) ... -11.18 eV/atom
# Total magnetic moment ... 14.1 μB per cell
# Energy above the most stable polymorph in this dataset ... 0.0 meV/atom
# Formation energy from raw total energies ... -365 kJ/mol of formula units
data_Gd2RuSe
_cell_length_a 3.485
_cell_length_b 3.485
_cell_length_c 7.278
_cell_angle_alpha 90.00
_cell_angle_beta 90.00
_cell_angle_gamma 90.00
_space_group_name_H-M_alt 'P 4/m m m'
_space_group_IT_number 123
_space_group_name_Hall '-P 4 2'
loop_
_atom_site_label
_atom_site_type_symbol
_atom_site_fract_x
_atom_site_fract_y
_atom_site_fract_z
_atom_site_occupancy
Gd1 Gd 0.000 0.000 0.235 1
Ru1 Ru 0.500 0.500 0.000 1
Se1 Se 0.500 0.500 0.500 1

---

Record 2
# Ca4BiAu5 (PBE, relaxed)
# Fermi-level density of states ... 6.19 states/eV/cell
# Total DFT energy (no corrections) ... -3.50 eV/atom
# Total magnetic moment ... 0.0 μB per cell
# Calculated formation energy ... -6.71 eV/f.u.
data_Ca4BiAu5
_cell_length_a 3.655
_cell_length_b 3.655
_cell_length_c 18.048
_cell_angle_alpha 90.00
_cell_angle_beta 90.00
_cell_angle_gamma 90.00
_space_group_name_H-M_alt 'P 4/m m m'
_space_group_IT_number 123
_space_group_name_Hall '-P 4 2'
loop_
_atom_site_label
_atom_site_type_symbol
_atom_site_fract_x
_atom_site_fract_y
_atom_site_fract_z
_atom_site_occupancy
Ca1 Ca 0.000 0.000 0.101 1
Ca2 Ca 0.000 0.000 0.304 1
Bi1 Bi 0.000 0.000 0.500 1
Au1 Au 0.500 0.500 0.000 1
Au2 Au 0.500 0.500 0.203 1
Au3 Au 0.500 0.500 0.392 1

---

Record 3
# In4TeAs (PBE, relaxed)
# Fermi-level density of states ... 24.54 states/eV/cell
# Total DFT energy (no corrections) ... -2.84 eV/atom
# Total magnetic moment ... 0.0 μB per cell
# Formation energy from raw total energies ... 166 kJ/mol of formula units
data_In4TeAs
_cell_length_a 8.788
_cell_length_b 8.788
_cell_length_c 8.788
_cell_angle_alpha 90.00
_cell_angle_beta 90.00
_cell_angle_gamma 90.00
_space_group_name_H-M_alt 'F -4 3 m'
_space_group_IT_number 216
_space_group_name_Hall 'F -4 2 3'
loop_
_atom_site_label
_atom_site_type_symbol
_atom_site_fract_x
_atom_site_fract_y
_atom_site_fract_z
_atom_site_occupancy
In1 In 0.125 0.125 0.125 1
Te1 Te 0.250 0.250 0.750 1
As1 As 0.000 0.000 0.500 1

---

Record 4
# PaMnCo2H6 (PBE, relaxed)
# Fermi-level density of states ... 13.19 states/eV/cell
# Total DFT energy (no corrections) ... -5.51 eV/atom
# Total magnetic moment ... 1.4 μB per cell
data_PaMnCo2H6
_cell_length_a 4.3303
_cell_length_b 4.3303
_cell_length_c 13.6739
_cell_angle_alpha 90.00
_cell_angle_beta 90.00
_cell_angle_gamma 120.00
_space_group_name_H-M_alt 'R -3 m'
_space_group_IT_number 166
_space_group_name_Hall '-R 3 2"'
loop_
_atom_site_label
_atom_site_type_symbol
_atom_site_fract_x
_atom_site_fract_y
_atom_site_fract_z
_atom_site_occupancy
Pa1 Pa 0.0000 0.0000 0.0000 1
Mn1 Mn 0.0000 0.0000 0.5000 1
Co1 Co 0.0000 0.0000 0.1976 1
H1 H 0.0307 0.5153 0.0724 1